<1>
A geometry-optimized CoGeSb structure. Source: the Alexandria database, functional GGA-PBE.

a = 3.369 Å, b = 3.369 Å, c = 5.531 Å
α = 90.00°, β = 90.00°, γ = 120.00°
Atoms (fractional coordinates):
Co 0.000 0.000 0.000
Ge 0.333 0.667 0.251
Sb 0.667 0.333 0.697

Properties
Magnetic moment: 0.00 μB/atom
Crystal system: trigonal

=====

<2>
A geometry-optimized CoGeSb structure. Source: the Alexandria database, functional GGA-PBE.

a = 5.987 Å, b = 5.987 Å, c = 5.987 Å
α = 90.00°, β = 90.00°, γ = 90.00°
Atoms (fractional coordinates):
Co 0.000 0.000 0.000
Co 0.000 0.500 0.500
Co 0.500 0.000 0.500
Co 0.500 0.500 0.000
Ge 0.250 0.250 0.250
Ge 0.250 0.750 0.750
Ge 0.750 0.250 0.750
Ge 0.750 0.750 0.250
Sb 0.250 0.250 0.750
Sb 0.250 0.750 0.250
Sb 0.750 0.250 0.250
Sb 0.750 0.750 0.750

Properties
Magnetic moment: 0.00 μB/atom
Crystal system: cubic

=====

It turns out <2> is the most stable, with the second structure 0.142 eV/atom higher.

=====

<1>
A geometry-optimized Co3GeSb structure. Source: the Alexandria database, functional GGA-PBE.

a = 4.369 Å, b = 4.369 Å, c = 4.369 Å
α = 90.00°, β = 90.00°, γ = 90.00°
Atoms (fractional coordinates):
Co 0.000 0.000 0.500
Co 0.000 0.500 0.000
Co 0.500 0.000 0.000
Ge 0.000 0.000 0.000
Sb 0.500 0.500 0.500

Properties
Magnetic moment: 0.63 μB/atom
Crystal system: cubic

=====

<2>
A geometry-optimized Co3GeSb structure. Source: the Alexandria database, functional GGA-PBE.

a = 4.656 Å, b = 4.656 Å, c = 4.656 Å
α = 90.00°, β = 90.00°, γ = 90.00°
Atoms (fractional coordinates):
Co 0.000 0.000 0.500
Co 0.000 0.500 0.000
Co 0.500 0.000 0.000
Ge 0.500 0.500 0.500
Sb 0.000 0.000 0.000

Properties
Magnetic moment: 0.70 μB/atom
Crystal system: cubic

=====

It turns out <1> is the most stable, with the second structure 0.533 eV/atom higher.

=====

<1>
A geometry-optimized Co2GeSb structure. Source: the Alexandria database, functional GGA-PBE.

a = 4.078 Å, b = 4.078 Å, c = 15.800 Å
α = 90.00°, β = 90.00°, γ = 90.00°
Atoms (fractional coordinates):
Co 0.219 0.250 0.125
Co 0.250 0.719 0.375
Co 0.250 0.781 0.875
Co 0.281 0.250 0.625
Co 0.719 0.750 0.625
Co 0.750 0.219 0.875
Co 0.750 0.281 0.375
Co 0.781 0.750 0.125
Ge 0.000 0.000 0.000
Ge 0.000 0.500 0.250
Ge 0.500 0.000 0.750
Ge 0.500 0.500 0.500
Sb 0.000 0.000 0.500
Sb 0.000 0.500 0.750
Sb 0.500 0.000 0.250
Sb 0.500 0.500 0.000

Properties
Magnetic moment: 0.11 μB/atom
Crystal system: tetragonal

=====

<2>
A geometry-optimized Co2GeSb structure. Source: the Alexandria database, functional GGA-PBE.

a = 6.124 Å, b = 6.124 Å, c = 6.124 Å
α = 90.00°, β = 90.00°, γ = 90.00°
Atoms (fractional coordinates):
Co 0.250 0.250 0.250
Co 0.250 0.250 0.750
Co 0.250 0.750 0.250
Co 0.250 0.750 0.750
Co 0.750 0.250 0.250
Co 0.750 0.250 0.750
Co 0.750 0.750 0.250
Co 0.750 0.750 0.750
Ge 0.000 0.000 0.000
Ge 0.000 0.500 0.500
Ge 0.500 0.000 0.500
Ge 0.500 0.500 0.000
Sb 0.000 0.000 0.500
Sb 0.000 0.500 0.000
Sb 0.500 0.000 0.000
Sb 0.500 0.500 0.500

Properties
Magnetic moment: 0.20 μB/atom
Crystal system: cubic

=====

It turns out <2> is the most stable, with the second structure 0.096 eV/atom higher.

=====

<1>
A geometry-optimized Sc2CoGe3 structure. Source: the Alexandria database, functional GGA-PBE.

a = 4.111 Å, b = 5.474 Å, c = 9.865 Å
α = 90.00°, β = 90.00°, γ = 90.00°
Atoms (fractional coordinates):
Sc 0.000 0.000 0.187
Sc 0.000 0.000 0.813
Sc 0.500 0.500 0.313
Sc 0.500 0.500 0.687
Co 0.000 0.000 0.500
Co 0.500 0.500 0.000
Ge 0.000 0.500 0.130
Ge 0.000 0.500 0.500
Ge 0.000 0.500 0.870
Ge 0.500 0.000 0.000
Ge 0.500 0.000 0.370
Ge 0.500 0.000 0.630

Properties
Magnetic moment: 0.25 μB/atom
Crystal system: orthorhombic

=====

<2>
A geometry-optimized Sc2CoGe3 structure. Source: the Alexandria database, functional GGA-PBE.

a = 9.834 Å, b = 4.122 Å, c = 6.512 Å
α = 90.00°, β = 129.38°, γ = 90.00°
Atoms (fractional coordinates):
Sc 0.000 0.000 0.000
Sc 0.117 0.000 0.601
Sc 0.500 0.500 0.000
Sc 0.617 0.500 0.601
Co 0.377 0.000 0.555
Co 0.877 0.500 0.555
Ge 0.168 0.500 0.926
Ge 0.243 0.500 0.423
Ge 0.387 0.000 0.199
Ge 0.668 0.000 0.926
Ge 0.743 0.000 0.423
Ge 0.887 0.500 0.199

Properties
Magnetic moment: 0.00 μB/atom
Crystal system: monoclinic

=====

It turns out <2> is the most stable, with the second structure 0.264 eV/atom higher.

=====

<1>
A geometry-optimized CoGe3Se structure. Source: the Alexandria database, functional GGA-PBE.

a = 4.573 Å, b = 4.573 Å, c = 4.573 Å
α = 90.00°, β = 90.00°, γ = 90.00°
Atoms (fractional coordinates):
Co 0.000 0.000 0.000
Ge 0.000 0.000 0.500
Ge 0.000 0.500 0.000
Ge 0.500 0.000 0.000
Se 0.500 0.500 0.500

Properties
Magnetic moment: 0.00 μB/atom
Crystal system: cubic

=====

<2>
A geometry-optimized CoGe3Se structure. Source: the Alexandria database, functional GGA-PBE.

a = 5.078 Å, b = 5.078 Å, c = 5.078 Å
α = 90.00°, β = 90.00°, γ = 90.00°
Atoms (fractional coordinates):
Co 0.000 0.000 0.000
Ge 0.000 0.500 0.500
Ge 0.500 0.000 0.500
Ge 0.500 0.500 0.000
Se 0.500 0.500 0.500

Properties
Magnetic moment: 0.42 μB/atom
Crystal system: cubic

=====

It turns out <1> is the most stable, with the second structure 1.244 eV/atom higher.

=====

<1>
A geometry-optimized VCoGeSe2 structure. Source: the Alexandria database, functional GGA-PBE.

a = 4.901 Å, b = 4.901 Å, c = 4.605 Å
α = 90.00°, β = 90.00°, γ = 90.00°
Atoms (fractional coordinates):
V 0.000 0.000 0.000
Co 0.500 0.500 0.000
Ge 0.000 0.000 0.500
Se 0.000 0.500 0.500
Se 0.500 0.000 0.500

Properties
Magnetic moment: 1.03 μB/atom
Crystal system: tetragonal

=====

<2>
A geometry-optimized VCoGeSe2 structure. Source: the Alexandria database, functional GGA-PBE.

a = 4.776 Å, b = 4.776 Å, c = 4.362 Å
α = 90.00°, β = 90.00°, γ = 90.00°
Atoms (fractional coordinates):
V 0.000 0.000 0.000
Co 0.000 0.000 0.500
Ge 0.500 0.500 0.500
Se 0.000 0.500 0.000
Se 0.500 0.000 0.000

Properties
Magnetic moment: 0.00 μB/atom
Crystal system: tetragonal

=====

It turns out <2> is the most stable, with the second structure 0.709 eV/atom higher.

=====

<1>
A geometry-optimized Co2SiGe structure. Source: the Alexandria database, functional GGA-PBE.

a = 6.337 Å, b = 6.337 Å, c = 5.265 Å
α = 90.00°, β = 90.00°, γ = 90.00°
Atoms (fractional coordinates):
Co 0.212 0.750 0.125
Co 0.250 0.212 0.875
Co 0.250 0.288 0.375
Co 0.288 0.750 0.625
Co 0.712 0.250 0.625
Co 0.750 0.712 0.375
Co 0.750 0.788 0.875
Co 0.788 0.250 0.125
Si 0.000 0.000 0.000
Si 0.000 0.500 0.250
Si 0.500 0.000 0.750
Si 0.500 0.500 0.500
Ge 0.000 0.000 0.500
Ge 0.000 0.500 0.750
Ge 0.500 0.000 0.250
Ge 0.500 0.500 0.000

Properties
Magnetic moment: 0.00 μB/atom
Crystal system: tetragonal

=====

<2>
A geometry-optimized Co2SiGe structure. Source: the Alexandria database, functional GGA-PBE.

a = 3.929 Å, b = 3.929 Å, c = 2.999 Å
α = 90.00°, β = 90.00°, γ = 90.00°
Atoms (fractional coordinates):
Co 0.000 0.500 0.000
Co 0.500 0.000 0.000
Si 0.000 0.000 0.500
Ge 0.500 0.500 0.500

Properties
Magnetic moment: 0.24 μB/atom
Crystal system: tetragonal

=====

It turns out <2> is the most stable, with the second structure 0.356 eV/atom higher.

=====

<1>
A geometry-optimized Co2SiGe structure. Source: the Alexandria database, functional GGA-PBE.

a = 4.528 Å, b = 4.529 Å, c = 4.543 Å
α = 90.00°, β = 90.64°, γ = 90.00°
Atoms (fractional coordinates):
Co 0.136 0.000 0.384
Co 0.354 0.281 0.897
Co 0.646 0.781 0.103
Co 0.864 0.500 0.616
Si 0.156 0.801 0.913
Si 0.844 0.301 0.087
Ge 0.340 0.485 0.406
Ge 0.660 0.985 0.594

Properties
Magnetic moment: 0.00 μB/atom
Crystal system: monoclinic

=====

<2>
A geometry-optimized Co2SiGe structure. Source: the Alexandria database, functional GGA-PBE.

a = 2.762 Å, b = 2.762 Å, c = 6.134 Å
α = 90.00°, β = 90.00°, γ = 90.00°
Atoms (fractional coordinates):
Co 0.000 0.000 0.222
Co 0.000 0.000 0.778
Si 0.500 0.500 0.000
Ge 0.500 0.500 0.500

Properties
Magnetic moment: 0.22 μB/atom
Crystal system: tetragonal

=====

It turns out <1> is the most stable, with the second structure 0.147 eV/atom higher.

=====

<1>
A geometry-optimized SmCo3Ge3 structure. Source: the Alexandria database, functional GGA-PBE.

a = 6.376 Å, b = 6.376 Å, c = 6.376 Å
α = 90.00°, β = 90.00°, γ = 90.00°
Atoms (fractional coordinates):
Sm 0.000 0.000 0.000
Sm 0.500 0.500 0.500
Co 0.000 0.250 0.500
Co 0.000 0.750 0.500
Co 0.250 0.500 0.000
Co 0.500 0.000 0.250
Co 0.500 0.000 0.750
Co 0.750 0.500 0.000
Ge 0.000 0.500 0.250
Ge 0.000 0.500 0.750
Ge 0.250 0.000 0.500
Ge 0.500 0.250 0.000
Ge 0.500 0.750 0.000
Ge 0.750 0.000 0.500

Properties
Magnetic moment: 0.00 μB/atom
Crystal system: cubic

=====

<2>
A geometry-optimized SmCo3Ge3 structure. Source: the Alexandria database, functional GGA-PBE.

a = 8.243 Å, b = 8.243 Å, c = 4.049 Å
α = 90.00°, β = 90.00°, γ = 120.00°
Atoms (fractional coordinates):
Sm 0.333 0.667 0.250
Sm 0.667 0.333 0.750
Co 0.059 0.202 0.250
Co 0.143 0.941 0.250
Co 0.202 0.143 0.750
Co 0.798 0.857 0.250
Co 0.857 0.059 0.750
Co 0.941 0.798 0.750
Ge 0.099 0.373 0.750
Ge 0.274 0.901 0.750
Ge 0.373 0.274 0.250
Ge 0.627 0.726 0.750
Ge 0.726 0.099 0.250
Ge 0.901 0.627 0.250

Properties
Magnetic moment: 0.00 μB/atom
Crystal system: hexagonal

=====

It turns out <2> is the most stable, with the second structure 0.304 eV/atom higher.

=====

<1>
A geometry-optimized Sm2Co3Ge5 structure. Source: the Alexandria database, functional GGA-PBE.

a = 12.468 Å, b = 12.468 Å, c = 6.710 Å
α = 90.00°, β = 90.00°, γ = 161.13°
Atoms (fractional coordinates):
Sm 0.024 0.976 0.500
Sm 0.325 0.675 0.485
Sm 0.675 0.325 0.985
Sm 0.976 0.024 0.000
Co 0.108 0.892 0.231
Co 0.280 0.720 0.996
Co 0.446 0.554 0.283
Co 0.554 0.446 0.783
Co 0.720 0.280 0.496
Co 0.892 0.108 0.731
Ge 0.095 0.905 0.871
Ge 0.205 0.795 0.293
Ge 0.213 0.787 0.702
Ge 0.379 0.621 0.985
Ge 0.448 0.552 0.663
Ge 0.552 0.448 0.163
Ge 0.621 0.379 0.485
Ge 0.787 0.213 0.202
Ge 0.795 0.205 0.793
Ge 0.905 0.095 0.371

Properties
Magnetic moment: 0.00 μB/atom
Crystal system: orthorhombic

=====

<2>
A geometry-optimized Sm2Co3Ge5 structure. Source: the Alexandria database, functional GGA-PBE.

a = 8.164 Å, b = 8.164 Å, c = 5.819 Å
α = 110.00°, β = 110.00°, γ = 93.15°
Atoms (fractional coordinates):
Sm 0.098 0.371 0.234
Sm 0.371 0.098 0.734
Sm 0.629 0.902 0.266
Sm 0.902 0.629 0.766
Co 0.036 0.760 0.382
Co 0.240 0.964 0.118
Co 0.495 0.505 0.250
Co 0.505 0.495 0.750
Co 0.760 0.036 0.882
Co 0.964 0.240 0.618
Ge 0.007 0.993 0.750
Ge 0.241 0.431 0.831
Ge 0.267 0.733 0.750
Ge 0.279 0.721 0.250
Ge 0.431 0.241 0.331
Ge 0.569 0.759 0.669
Ge 0.721 0.279 0.750
Ge 0.733 0.267 0.250
Ge 0.759 0.569 0.169
Ge 0.993 0.007 0.250

Properties
Magnetic moment: 0.07 μB/atom
Crystal system: monoclinic

=====

It turns out <2> is the most stable, with the second structure 0.112 eV/atom higher.

=====

<1>
A geometry-optimized Co2SnGe structure. Source: the Alexandria database, functional GGA-PBE.

a = 6.092 Å, b = 6.092 Å, c = 6.092 Å
α = 90.00°, β = 90.00°, γ = 90.00°
Atoms (fractional coordinates):
Co 0.250 0.250 0.250
Co 0.250 0.250 0.750
Co 0.250 0.750 0.250
Co 0.250 0.750 0.750
Co 0.750 0.250 0.250
Co 0.750 0.250 0.750
Co 0.750 0.750 0.250
Co 0.750 0.750 0.750
Sn 0.000 0.000 0.000
Sn 0.000 0.500 0.500
Sn 0.500 0.000 0.500
Sn 0.500 0.500 0.000
Ge 0.000 0.000 0.500
Ge 0.000 0.500 0.000
Ge 0.500 0.000 0.000
Ge 0.500 0.500 0.500

Properties
Magnetic moment: 0.38 μB/atom
Crystal system: cubic

=====

<2>
A geometry-optimized Co2SnGe structure. Source: the Alexandria database, functional GGA-PBE.

a = 6.939 Å, b = 6.354 Å, c = 5.432 Å
α = 90.00°, β = 90.13°, γ = 90.00°
Atoms (fractional coordinates):
Co 0.090 0.210 0.005
Co 0.090 0.290 0.505
Co 0.327 0.722 0.491
Co 0.327 0.778 0.991
Co 0.673 0.222 0.009
Co 0.673 0.278 0.509
Co 0.910 0.710 0.495
Co 0.910 0.790 0.995
Sn 0.381 0.098 0.278
Sn 0.381 0.402 0.778
Sn 0.619 0.598 0.222
Sn 0.619 0.902 0.722
Ge 0.118 0.550 0.203
Ge 0.118 0.950 0.703
Ge 0.882 0.050 0.297
Ge 0.882 0.450 0.797

Properties
Magnetic moment: 0.00 μB/atom
Crystal system: monoclinic

=====

<3>
A geometry-optimized Co2SnGe structure. Source: the Alexandria database, functional GGA-PBE.

a = 5.497 Å, b = 5.497 Å, c = 10.896 Å
α = 90.00°, β = 90.00°, γ = 90.00°
Atoms (fractional coordinates):
Co 0.213 0.250 0.125
Co 0.250 0.713 0.375
Co 0.250 0.787 0.875
Co 0.287 0.250 0.625
Co 0.713 0.750 0.625
Co 0.750 0.213 0.875
Co 0.750 0.287 0.375
Co 0.787 0.750 0.125
Sn 0.000 0.000 0.500
Sn 0.000 0.500 0.750
Sn 0.500 0.000 0.250
Sn 0.500 0.500 0.000
Ge 0.000 0.000 0.000
Ge 0.000 0.500 0.250
Ge 0.500 0.000 0.750
Ge 0.500 0.500 0.500

Properties
Magnetic moment: 0.00 μB/atom
Crystal system: tetragonal

=====

<4>
A geometry-optimized Co2SnGe structure. Source: the Alexandria database, functional GGA-PBE.

a = 3.801 Å, b = 3.801 Å, c = 14.682 Å
α = 90.00°, β = 90.00°, γ = 120.00°
Atoms (fractional coordinates):
Co 0.000 0.000 0.000
Co 0.000 0.000 0.207
Co 0.333 0.667 0.667
Co 0.333 0.667 0.873
Co 0.667 0.333 0.333
Co 0.667 0.333 0.540
Sn 0.000 0.000 0.778
Sn 0.333 0.667 0.445
Sn 0.667 0.333 0.111
Ge 0.000 0.000 0.595
Ge 0.333 0.667 0.262
Ge 0.667 0.333 0.928

Properties
Magnetic moment: 0.00 μB/atom
Crystal system: trigonal

=====

It turns out <2> is the most stable, with the second structure 0.145 eV/atom higher.